Computed, not measured: an optimized crystal structure of Ce2Al5Ag4 at the PBE level of DFT.

Values from the calculation:
Formation energy (eV per atom): -0.23

a = 5.557 Å, b = 5.513 Å, c = 9.096 Å
α = 81.15°, β = 72.21°, γ = 59.74°
Fractional positions:
1 Ce 0.888 0.000 0.224
2 Ce 0.112 0.000 0.776
3 Al 0.500 0.000 0.000
4 Al 0.000 0.500 0.000
5 Al 0.500 0.500 0.000
6 Al 0.250 0.500 0.500
7 Al 0.750 0.500 0.500
8 Ag 0.792 0.679 0.737
9 Ag 0.208 0.321 0.263
10 Ag 0.529 0.679 0.263
11 Ag 0.471 0.321 0.737